one) Computed, not measured: an optimized crystal structure of Tb5Nd2Y12 at the PBE-GGA level of DFT.

Lattice parameters (Å, degrees): 6.767 11.705 11.450 135.02 87.63 100.23
Atoms (fractional coordinates):
Y1 0.338 0.429 0.116
Y2 0.884 0.148 0.911
Y3 0.891 0.307 0.531
Y4 0.109 0.693 0.469
Y5 0.161 0.442 0.857
Y6 0.651 0.975 0.110
Y7 0.616 0.781 0.534
Y8 0.349 0.025 0.890
Y9 0.384 0.219 0.466
Y10 0.116 0.852 0.089
Y11 0.662 0.571 0.884
Y12 0.839 0.558 0.143
Tb1 0.457 0.817 0.280
Tb2 0.543 0.183 0.720
Tb3 0.343 0.616 0.686
Tb4 0.657 0.384 0.314
Tb5 0.000 0.000 0.500
Nd1 0.121 0.263 0.250
Nd2 0.879 0.737 0.750

Properties
Volume   32.96 Å³ per atom
Density of states at the Fermi level   1.55 states/eV/atom
Theoretical density   5.7 Mg/m³



two) Computed, not measured: an optimized crystal structure of Tb5Nd2Y12 at the PBE-GGA level of DFT.

Lattice parameters (Å, degrees): 9.367 12.395 8.639 132.66 90.00 112.20
Atoms (fractional coordinates):
Tb1 0.000 0.000 0.500
Tb2 0.298 0.596 0.613
Tb3 0.230 0.461 0.887
Tb4 0.702 0.404 0.387
Tb5 0.770 0.539 0.113
Y1 0.442 0.884 0.216
Y2 0.082 0.165 0.289
Y3 0.562 0.743 0.402
Y4 0.331 0.304 0.063
Y5 0.027 0.696 0.937
Y6 0.973 0.304 0.063
Y7 0.181 0.743 0.402
Y8 0.669 0.696 0.937
Y9 0.819 0.257 0.598
Y10 0.558 0.116 0.784
Y11 0.438 0.257 0.598
Y12 0.918 0.835 0.711
Nd1 0.677 0.000 0.000
Nd2 0.323 0.000 0.000

Properties
Volume   33.30 Å³ per atom
Density of states at the Fermi level   1.51 states/eV/atom
Theoretical density   5.6 Mg/m³



Quick one: most stable of them? one)



one) Computed, not measured: an optimized crystal structure of TbNdY at the PBE-GGA level of DFT.

Lattice parameters (Å, degrees): 4.876 4.876 8.746 90.00 90.00 90.00
Atoms (fractional coordinates):
Y1 0.000 0.500 0.302
Y2 0.500 0.000 0.698
Nd1 0.500 0.000 0.300
Nd2 0.000 0.500 0.700
Tb1 0.000 0.000 0.000
Tb2 0.500 0.500 0.000

Properties
Volume   34.65 Å³ per atom
Density of states at the Fermi level   1.41 states/eV/atom
Theoretical density   6.3 Mg/m³



two) Computed, not measured: an optimized crystal structure of TbNdY at the PBE-GGA level of DFT.

Lattice parameters (Å, degrees): 6.143 6.144 9.739 85.02 84.99 33.64
Atoms (fractional coordinates):
Tb1 0.128 0.750 0.587
Tb2 0.873 0.494 0.440
Nd1 0.100 0.719 0.942
Nd2 0.355 0.975 0.121
Y1 0.610 0.230 0.276
Y2 0.388 0.011 0.756

Properties
Volume   33.79 Å³ per atom
Density of states at the Fermi level   1.76 states/eV/atom
Theoretical density   6.4 Mg/m³



Quick one: most stable of them? two)



one) Computed, not measured: an optimized crystal structure of TbNdY at the PBE-GGA level of DFT.

Lattice parameters (Å, degrees): 3.607 3.607 8.061 102.93 102.93 90.00
Atoms (fractional coordinates):
Tb1 0.666 0.666 0.332
Y1 0.001 0.001 0.003
Nd1 0.333 0.333 0.665

Properties
Volume   33.16 Å³ per atom
Density of states at the Fermi level   1.40 states/eV/atom
Theoretical density   6.5 Mg/m³



two) Computed, not measured: an optimized crystal structure of TbNdY at the PBE-GGA level of DFT.

Lattice parameters (Å, degrees): 3.636 3.633 8.988 78.17 89.97 59.96
Atoms (fractional coordinates):
Tb1 0.872 0.678 0.951
Y1 0.649 0.125 0.276
Nd1 0.092 0.238 0.613

Properties
Volume   33.29 Å³ per atom
Density of states at the Fermi level   1.31 states/eV/atom
Theoretical density   6.5 Mg/m³



Quick one: most stable of them? two)



one) Computed, not measured: an optimized crystal structure of Tb6Nd3Y at the PBE-GGA level of DFT.

Lattice parameters (Å, degrees): 6.633 9.778 6.686 111.70 119.74 90.00
Atoms (fractional coordinates):
Tb1 0.559 0.688 0.629
Tb2 0.441 0.312 0.371
Tb3 0.930 0.312 0.371
Tb4 0.070 0.688 0.629
Tb5 0.637 0.922 0.275
Tb6 0.363 0.078 0.725
Nd1 0.000 0.000 0.000
Nd2 0.930 0.299 0.860
Nd3 0.070 0.701 0.140
Y1 0.500 0.500 0.000

Properties
Volume   34.07 Å³ per atom
Density of states at the Fermi level   1.86 states/eV/atom
Theoretical density   7.2 Mg/m³



two) Computed, not measured: an optimized crystal structure of Tb6Nd3Y at the PBE-GGA level of DFT.

Lattice parameters (Å, degrees): 6.448 10.946 10.946 120.27 90.00 90.00
Atoms (fractional coordinates):
Tb1 0.867 0.944 0.523
Tb2 0.155 0.728 0.272
Tb3 0.353 0.967 0.033
Tb4 0.553 0.284 0.374
Tb5 0.853 0.033 0.967
Tb6 0.655 0.272 0.728
Tb7 0.367 0.523 0.944
Tb8 0.867 0.477 0.056
Tb9 0.053 0.374 0.284
Tb10 0.053 0.716 0.626
Tb11 0.553 0.626 0.716
Tb12 0.367 0.056 0.477
Nd1 0.077 0.387 0.613
Nd2 0.577 0.613 0.387
Nd3 0.969 0.063 0.293
Nd4 0.969 0.707 0.937
Nd5 0.469 0.937 0.707
Nd6 0.469 0.293 0.063
Y1 0.121 0.188 0.812
Y2 0.621 0.812 0.188

Properties
Volume   33.36 Å³ per atom
Density of states at the Fermi level   1.30 states/eV/atom
Theoretical density   7.3 Mg/m³



Quick one: most stable of them? two)



one) Computed, not measured: an optimized crystal structure of TbNd2Y6 at the PBE-GGA level of DFT.

Lattice parameters (Å, degrees): 6.612 9.666 9.666 95.98 81.00 81.00
Atoms (fractional coordinates):
Y1 0.772 0.540 0.940
Y2 0.813 0.954 0.779
Y3 0.728 0.060 0.460
Y4 0.496 0.348 0.724
Y5 0.504 0.652 0.276
Y6 0.187 0.046 0.221
Y7 0.228 0.460 0.060
Y8 0.272 0.940 0.540
Y9 0.996 0.724 0.348
Y10 0.004 0.276 0.652
Y11 0.313 0.779 0.954
Y12 0.687 0.221 0.046
Tb1 0.750 0.882 0.118
Tb2 0.250 0.118 0.882
Nd1 0.627 0.666 0.616
Nd2 0.127 0.616 0.666
Nd3 0.373 0.334 0.384
Nd4 0.873 0.384 0.334

Properties
Volume   33.19 Å³ per atom
Density of states at the Fermi level   1.38 states/eV/atom
Theoretical density   5.5 Mg/m³



two) Computed, not measured: an optimized crystal structure of TbNd2Y6 at the PBE-GGA level of DFT.

Lattice parameters (Å, degrees): 6.957 10.507 10.507 55.88 70.67 70.67
Atoms (fractional coordinates):
Y1 0.829 0.006 0.337
Y2 0.840 0.327 0.993
Y3 0.171 0.994 0.663
Y4 0.506 0.662 0.325
Y5 0.494 0.338 0.675
Y6 0.160 0.673 0.007
Y7 0.006 0.325 0.662
Y8 0.994 0.675 0.338
Y9 0.671 0.663 0.994
Y10 0.660 0.007 0.673
Y11 0.329 0.337 0.006
Y12 0.340 0.993 0.327
Nd1 0.583 0.667 0.667
Nd2 0.083 0.667 0.667
Nd3 0.917 0.333 0.333
Nd4 0.417 0.333 0.333
Tb1 0.750 0.000 0.000
Tb2 0.250 0.000 0.000

Properties
Volume   32.75 Å³ per atom
Density of states at the Fermi level   1.69 states/eV/atom
Theoretical density   5.5 Mg/m³



Quick one: most stable of them? two)



one) Computed, not measured: an optimized crystal structure of Tb2NdY4 at the PBE-GGA level of DFT.

Lattice parameters (Å, degrees): 6.076 6.654 11.780 90.00 105.99 90.00
Atoms (fractional coordinates):
Y1 0.855 0.250 0.581
Y2 0.631 0.492 0.290
Y3 0.631 0.008 0.290
Y4 0.369 0.992 0.710
Y5 0.024 0.250 0.165
Y6 0.976 0.750 0.835
Y7 0.369 0.508 0.710
Y8 0.145 0.750 0.419
Nd1 0.825 0.250 0.866
Nd2 0.175 0.750 0.134
Tb1 0.612 0.750 0.012
Tb2 0.388 0.250 0.988
Tb3 0.714 0.750 0.551
Tb4 0.286 0.250 0.449

Properties
Volume   32.70 Å³ per atom
Density of states at the Fermi level   1.68 states/eV/atom
Theoretical density   5.9 Mg/m³



two) Computed, not measured: an optimized crystal structure of Tb2NdY4 at the PBE-GGA level of DFT.

Lattice parameters (Å, degrees): 3.562 9.500 8.576 121.62 78.03 112.00
Atoms (fractional coordinates):
Y1 0.411 0.706 0.589
Y2 0.808 0.165 0.716
Y3 0.192 0.835 0.284
Y4 0.589 0.294 0.411
Tb1 0.360 0.430 0.140
Tb2 0.640 0.570 0.860
Nd1 0.000 0.000 0.000

Properties
Volume   32.73 Å³ per atom
Density of states at the Fermi level   1.55 states/eV/atom
Theoretical density   5.9 Mg/m³



Quick one: most stable of them? two)